The following is a DFT calculation (PBE) of VMoPS2 after structural relaxation.

Cell: 4.4841 4.4841 4.6686 Å, 90.00 90.00 90.00°
With the nearest neighbours (Å) after each atom.
Atoms (fractional coordinates):
V1 0.0000 0.0000 0.0000  4 S 2.24, 2 P 2.33
Mo1 0.5000 0.5000 0.5000  4 P 3.17, 8 S 3.24
P1 0.0000 0.0000 0.5000  2 V 2.33
S1 0.0000 0.5000 0.0000  2 V 2.24
S2 0.5000 0.0000 0.0000  2 V 2.24

Raw formation energy ... 510.2 meV/atom
Raw total energy ... -6.213 eV/atom
Polymorph energy (0 for the lowest one) ... 0 meV/atom
DOS(E_F) ... 2.6 states/eV per cell